Entry 1:
Sc3Zn: optimized geometry, PBE.

```
4
Lattice="3.2670 0.0000 0.0000 0.0000 4.4718 0.0000 -0.9537 0.0000 5.9820" Properties=species:S:1:pos:R:3 pbc="T T T"
Sc 0.0000 0.0000 0.0000
Sc 0.6982 2.2359 4.4014
Sc 1.6151 2.2359 1.5805
Zn -0.4769 0.0000 2.9910
```

**E_tot**: -20.5 eV/cell

***

Entry 2:
ScZn3: optimized geometry, PBE.

```
8
Lattice="4.2288 0.0000 0.0000 0.0000 5.5787 0.0000 0.0000 0.0000 5.7501" Properties=species:S:1:pos:R:3 pbc="T T T"
Sc 1.0572 1.3947 0.5698
Sc 3.1716 4.1840 5.1803
Zn 1.0572 2.8038 3.6869
Zn 1.0572 4.1840 1.3990
Zn 1.0572 5.5642 3.6869
Zn 3.1716 0.0144 2.0632
Zn 3.1716 1.3947 4.3512
Zn 3.1716 2.7749 2.0632
```

**E_tot**: -22.6 eV/cell

***

Entry 3:
Sc4Zn5: optimized geometry, PBE.

```
18
Lattice="8.2188 0.0000 0.0000 -4.1094 7.1177 0.0000 0.0000 0.0000 5.7694" Properties=species:S:1:pos:R:3 pbc="T T T"
Sc 0.0000 0.0000 0.0000
Sc 0.0000 0.0000 2.8847
Sc -1.4791 2.5619 1.4423
Sc -2.6303 4.5558 4.3270
Sc 2.9582 0.0000 1.4423
Sc 1.4791 2.5619 4.3270
Sc 5.2606 0.0000 4.3270
Sc 2.6303 4.5558 1.4423
Zn -1.2709 2.2013 4.3270
Zn -2.8385 4.9164 1.4423
Zn 2.5418 0.0000 4.3270
Zn 1.2709 2.2013 1.4423
Zn 0.0000 4.7451 0.0000
Zn 0.0000 4.7451 2.8847
Zn 4.1094 2.3726 0.0000
Zn 4.1094 2.3726 2.8847
Zn 5.6770 0.0000 1.4423
Zn 2.8385 4.9164 4.3270
```

**Distance to the lowest polymorph of the same formula**: 0 meV per atom
**E_tot**: -68.1 eV/cell

***

Number 1: ΔH_f (0 K) -0.069 eV per atom. Number 2: ΔH_f (0 K) -0.285 eV per atom. Number 3: ΔH_f (0 K) -0.259 eV per atom.